LiTbBi | PBE-GGA | optimized geometry

Values from the calculation:
ΔE_f (meV per atom): -590
Fermi-level density of states (states/eV/atom): 0.712
Crystal system: hexagonal
Distance to the lowest polymorph of the same formula (eV per atom): 0.0352

```
data_LiTbBi
_space_group_name_H-M_alt 'P -6 m 2'
_space_group_IT_number 187
_space_group_name_Hall 'P -6 2'
_cell_length_a 4.5293
_cell_length_b 4.5293
_cell_length_c 4.1953
_cell_angle_alpha 90.00
_cell_angle_beta 90.00
_cell_angle_gamma 120.00
loop_
_atom_site_label
_atom_site_fract_x
_atom_site_fract_y
_atom_site_fract_z
Li1 0.0000 0.0000 0.0000
Tb1 0.3333 0.6667 0.5000
Bi1 0.6667 0.3333 0.0000
```

SrMo4Pb | PBE-GGA | optimized geometry

Values from the calculation:
ΔE_f (meV per atom): 643
Fermi-level density of states (states/eV/atom): 1.042
Crystal system: cubic

```
data_SrMo4Pb
_space_group_name_H-M_alt 'F -4 3 m'
_space_group_IT_number 216
_space_group_name_Hall 'F -4 2 3'
_cell_length_a 7.834
_cell_length_b 7.834
_cell_length_c 7.834
_cell_angle_alpha 90.00
_cell_angle_beta 90.00
_cell_angle_gamma 90.00
loop_
_atom_site_label
_atom_site_fract_x
_atom_site_fract_y
_atom_site_fract_z
Sr1 0.000 0.000 0.000
Mo1 0.124 0.124 0.624
Pb1 0.250 0.250 0.250
```